Density functional theory data (PBE) for an optimized crystal structure of ZnCd2Os.

abc: 10.621 10.621 10.621
angles: 15.33 15.33 15.33
Sites, in units of the cell vectors:
Zn1 0.000 0.000 0.000
Cd1 0.521 0.521 0.521
Cd2 0.755 0.755 0.755
Os1 0.267 0.267 0.267

Volume in Å³/cell: 73.0
Total magnetic moment in μB/f.u.: 0.2
Energy of formation from the pure elements in kcal/mol of atoms: 7.395
Space group: R3m, No. 160
DOS(E_F) in states/eV per cell: 2.73
VASP energy in eV/cell: -13.05

=====

Density functional theory data (PBE) for an optimized crystal structure of CaMnCu.

abc: 4.586 4.586 4.586
angles: 60.00 60.00 60.00
Sites, in units of the cell vectors:
Ca1 0.000 0.000 0.000
Mn1 0.500 0.500 0.500
Cu1 0.250 0.250 0.250

Volume in Å³/cell: 68.2
Total magnetic moment in μB/f.u.: 4.1
Energy of formation from the pure elements in kcal/mol of atoms: 9.884
Space group: F-43m, No. 216
DOS(E_F) in states/eV per cell: 3.36
VASP energy in eV/cell: -13.98

=====

Density functional theory data (PBE) for an optimized crystal structure of Tb2ErBiC.

abc: 4.964 4.964 4.857
angles: 90.00 90.00 90.00
Sites, in units of the cell vectors:
Tb1 0.000 0.500 0.000
Tb2 0.500 0.000 0.000
Er1 0.000 0.000 0.500
Bi1 0.500 0.500 0.500
C1 0.000 0.000 0.000

Volume in Å³/cell: 119.7
Total magnetic moment in μB/f.u.: 0.0
Energy of formation from the pure elements in kcal/mol of atoms: -12.245
Space group: P4/mmm, No. 123
DOS(E_F) in states/eV per cell: 3.27
VASP energy in eV/cell: -29.58

=====

Density functional theory data (PBE) for an optimized crystal structure of CsBaP.

abc: 6.197 6.277 8.581
angles: 98.80 103.14 92.37
Sites, in units of the cell vectors:
Cs1 0.000 0.000 0.000
Cs2 0.097 0.578 0.436
Ba1 0.462 0.506 0.921
Ba2 0.649 0.096 0.534
P1 0.667 0.621 0.647
P2 0.920 0.454 0.806

Volume in Å³/cell: 320.2
Total magnetic moment in μB/f.u.: 0.0
Energy of formation from the pure elements in kcal/mol of atoms: -9.580
Space group: P1, No. 1
DOS(E_F) in states/eV per cell: 2.37
VASP energy in eV/cell: -18.86

=====

Density functional theory data (PBE) for an optimized crystal structure of Sm4TlGe.

abc: 11.648 11.648 6.454
angles: 90.00 90.00 153.90
Sites, in units of the cell vectors:
Sm1 0.069 0.931 0.500
Sm2 0.208 0.792 0.259
Sm3 0.208 0.792 0.743
Sm4 0.367 0.633 0.501
Sm5 0.633 0.367 0.001
Sm6 0.792 0.208 0.243
Sm7 0.792 0.208 0.759
Sm8 0.931 0.069 0.000
Tl1 0.066 0.934 0.000
Tl2 0.934 0.066 0.500
Ge1 0.337 0.663 0.001
Ge2 0.663 0.337 0.501

Volume in Å³/cell: 385.3
Total magnetic moment in μB/f.u.: 0.0
Energy of formation from the pure elements in kcal/mol of atoms: -4.315
Space group: Cmc2_1, No. 36
DOS(E_F) in states/eV per cell: 14.50
Energy above the most stable polymorph in this dataset in meV per atom: 236.2
VASP energy in eV/cell: -53.97

=====

Density functional theory data (PBE) for an optimized crystal structure of YIr2Rh3.

abc: 7.676 7.676 7.676
angles: 42.93 42.93 42.93
Sites, in units of the cell vectors:
Y1 0.218 0.218 0.218
Y2 0.782 0.782 0.782
Ir1 0.000 0.000 0.000
Ir2 0.000 0.500 0.500
Ir3 0.500 0.000 0.500
Ir4 0.500 0.500 0.000
Rh1 0.235 0.724 0.724
Rh2 0.276 0.276 0.765
Rh3 0.276 0.765 0.276
Rh4 0.724 0.235 0.724
Rh5 0.724 0.724 0.235
Rh6 0.765 0.276 0.276

Volume in Å³/cell: 190.1
Total magnetic moment in μB/f.u.: 0.0
Energy of formation from the pure elements in kcal/mol of atoms: -6.897
Space group: R-3m, No. 166
DOS(E_F) in states/eV per cell: 12.76
VASP energy in eV/cell: -96.07

=====

Density functional theory data (PBE) for an optimized crystal structure of Ac2LaZn5.

abc: 8.339 8.339 8.339
angles: 143.57 143.57 52.47
Sites, in units of the cell vectors:
Ac1 0.228 0.228 0.000
Ac2 0.772 0.772 0.000
La1 0.500 0.500 0.000
Zn1 0.000 0.000 0.000
Zn2 0.106 0.606 0.500
Zn3 0.394 0.894 0.500
Zn4 0.606 0.106 0.500
Zn5 0.894 0.394 0.500

Volume in Å³/cell: 203.2
Total magnetic moment in μB/f.u.: 0.0
Energy of formation from the pure elements in kcal/mol of atoms: -4.858
Space group: I4/mmm, No. 139
DOS(E_F) in states/eV per cell: 4.69
VASP energy in eV/cell: -21.20

=====

Density functional theory data (PBE) for an optimized crystal structure of TmZr2Ti.

abc: 5.069 5.069 5.069
angles: 60.00 60.00 60.00
Sites, in units of the cell vectors:
Tm1 0.000 0.000 0.000
Zr1 0.250 0.250 0.250
Zr2 0.750 0.750 0.750
Ti1 0.500 0.500 0.500

Volume in Å³/cell: 92.1
Total magnetic moment in μB/f.u.: 2.0
Energy of formation from the pure elements in kcal/mol of atoms: 5.294
Space group: Fm-3m, No. 225
DOS(E_F) in states/eV per cell: 8.57
Energy above the most stable polymorph in this dataset in meV per atom: 113.1
VASP energy in eV/cell: -28.54

=====

Density functional theory data (PBE) for an optimized crystal structure of Fe2HgRu.

abc: 5.126 5.126 5.126
angles: 145.25 129.22 63.00
Sites, in units of the cell vectors:
Fe1 0.000 0.000 0.000
Fe2 0.779 0.279 0.500
Hg1 0.261 0.761 0.500
Ru1 0.536 0.536 0.000

Volume in Å³/cell: 58.8
Total magnetic moment in μB/f.u.: 6.2
Energy of formation from the pure elements in kcal/mol of atoms: 8.979
Space group: Imm2, No. 44
DOS(E_F) in states/eV per cell: 2.69
VASP energy in eV/cell: -24.95

=====

Density functional theory data (PBE) for an optimized crystal structure of NaAlRh2Cl.

abc: 4.802 4.802 4.506
angles: 90.00 90.00 90.00
Sites, in units of the cell vectors:
Na1 0.000 0.000 0.000
Al1 0.500 0.500 0.500
Rh1 0.000 0.500 0.000
Rh2 0.500 0.000 0.000
Cl1 0.000 0.000 0.500

Formation energy without anion corrections in meV/atom: 1136
Volume in Å³/cell: 103.9
Total magnetic moment in μB/f.u.: 1.5
Space group: P4/mmm, No. 123
DOS(E_F) in states/eV per cell: 9.80
VASP energy in eV/cell: -15.93

=====

Density functional theory data (PBE) for an optimized crystal structure of La4Si3Pd.

abc: 4.106 4.453 11.352
angles: 90.00 90.00 90.00
Sites, in units of the cell vectors:
La1 0.000 0.000 0.000
La2 0.000 0.500 0.495
La3 0.500 0.000 0.279
La4 0.500 0.500 0.777
Si1 0.000 0.000 0.703
Si2 0.000 0.500 0.208
Si3 0.500 0.000 0.571
Pd1 0.500 0.500 0.070

Formation energy without anion corrections in meV/atom: -728
Volume in Å³/cell: 207.6
Total magnetic moment in μB/f.u.: 0.4
Space group: Pmm2, No. 25
DOS(E_F) in states/eV per cell: 9.16
VASP energy in eV/cell: -46.99

=====

Density functional theory data (PBE) for an optimized crystal structure of Nd6Mg5In.

abc: 8.695 8.695 7.764
angles: 90.00 90.00 143.19
Sites, in units of the cell vectors:
Nd1 0.000 0.000 0.249
Nd2 0.000 0.000 0.751
Nd3 0.334 0.666 0.250
Nd4 0.334 0.666 0.750
Nd5 0.666 0.334 0.250
Nd6 0.666 0.334 0.750
Mg1 0.167 0.833 0.500
Mg2 0.169 0.831 0.000
Mg3 0.500 0.500 0.500
Mg4 0.831 0.169 0.000
Mg5 0.833 0.167 0.500
In1 0.500 0.500 0.000

Volume in Å³/cell: 351.7
Total magnetic moment in μB/f.u.: 0.0
Energy of formation from the pure elements in kcal/mol of atoms: -4.195
Space group: Cmmm, No. 65
DOS(E_F) in states/eV per cell: 14.15
VASP energy in eV/cell: -41.50

=====

Density functional theory data (PBE) for an optimized crystal structure of AsSe2SO.

abc: 4.727 4.727 4.873
angles: 90.00 90.00 90.00
Sites, in units of the cell vectors:
As1 0.000 0.000 0.000
Se1 0.000 0.500 0.500
Se2 0.500 0.000 0.500
S1 0.000 0.000 0.500
O1 0.500 0.500 0.000

Formation energy without anion corrections in meV/atom: 1190
Volume in Å³/cell: 108.9
Total magnetic moment in μB/f.u.: 0.0
Space group: P4/mmm, No. 123
DOS(E_F) in states/eV per cell: 8.24
Energy above the most stable polymorph in this dataset in meV per atom: 448.6
VASP energy in eV/cell: -14.76

=====

Density functional theory data (PBE) for an optimized crystal structure of SrZrNiS3.

abc: 6.797 6.797 9.638
angles: 90.00 90.00 148.01
Sites, in units of the cell vectors:
Sr1 0.246 0.754 0.750
Sr2 0.754 0.246 0.250
Zr1 0.500 0.500 0.000
Zr2 0.500 0.500 0.500
Ni1 0.027 0.973 0.250
Ni2 0.973 0.027 0.750
S1 0.134 0.866 0.062
S2 0.134 0.866 0.438
S3 0.428 0.572 0.250
S4 0.572 0.428 0.750
S5 0.866 0.134 0.562
S6 0.866 0.134 0.938

Formation energy without anion corrections in meV/atom: -1513
Volume in Å³/cell: 235.8
Total magnetic moment in μB/f.u.: 0.0
Space group: Cmcm, No. 63
DOS(E_F) in states/eV per cell: 2.24
VASP energy in eV/cell: -74.95

=====

Density functional theory data (PBE) for an optimized crystal structure of Er2NpCo2.

abc: 5.807 5.807 7.025
angles: 99.04 99.04 60.47
Sites, in units of the cell vectors:
Er1 0.039 0.264 0.149
Er2 0.264 0.039 0.649
Er3 0.736 0.961 0.351
Er4 0.961 0.736 0.851
Np1 0.411 0.589 0.250
Np2 0.589 0.411 0.750
Co1 0.211 0.501 0.490
Co2 0.499 0.789 0.010
Co3 0.501 0.211 0.990
Co4 0.789 0.499 0.510

Volume in Å³/cell: 202.7
Total magnetic moment in μB/f.u.: 2.7
Energy of formation from the pure elements in kcal/mol of atoms: -2.952
Space group: C2/c, No. 15
DOS(E_F) in states/eV per cell: 22.02
VASP energy in eV/cell: -73.84

=====

Density functional theory data (PBE) for an optimized crystal structure of Ba2Re3O10.

abc: 9.803 9.803 7.880
angles: 111.65 111.65 34.80
Sites, in units of the cell vectors:
Ba1 0.111 0.111 0.218
Ba2 0.214 0.214 0.809
Ba3 0.786 0.786 0.191
Ba4 0.889 0.889 0.782
Re1 0.218 0.782 0.500
Re2 0.320 0.320 0.487
Re3 0.420 0.420 0.035
Re4 0.580 0.580 0.965
Re5 0.680 0.680 0.513
Re6 0.782 0.218 0.500
O1 0.000 0.500 0.500
O2 0.026 0.026 0.708
O3 0.121 0.599 0.040
O4 0.156 0.632 0.486
O5 0.270 0.270 0.235
O6 0.295 0.705 0.000
O7 0.367 0.367 0.763
O8 0.368 0.844 0.514
O9 0.401 0.879 0.960
O10 0.474 0.474 0.313
O11 0.500 0.000 0.500
O12 0.526 0.526 0.687
O13 0.599 0.121 0.040
O14 0.632 0.156 0.486
O15 0.633 0.633 0.237
O16 0.705 0.295 0.000
O17 0.730 0.730 0.765
O18 0.844 0.368 0.514
O19 0.879 0.401 0.960
O20 0.974 0.974 0.292

Formation energy without anion corrections in meV/atom: -1963
Volume in Å³/cell: 398.6
Total magnetic moment in μB/f.u.: 0.0
Space group: C2/m, No. 12
DOS(E_F) in states/eV per cell: 8.56
VASP energy in eV/cell: -240.42

=====

Density functional theory data (PBE) for an optimized crystal structure of CsBa2Pb.

abc: 10.561 10.561 10.561
angles: 30.81 30.81 30.81
Sites, in units of the cell vectors:
Cs1 0.000 0.000 0.000
Ba1 0.548 0.548 0.548
Ba2 0.784 0.784 0.784
Pb1 0.165 0.165 0.165

Volume in Å³/cell: 274.0
Total magnetic moment in μB/f.u.: 0.0
Energy of formation from the pure elements in kcal/mol of atoms: -5.265
Space group: R3m, No. 160
DOS(E_F) in states/eV per cell: 2.18
VASP energy in eV/cell: -9.32

=====

Density functional theory data (PBE) for an optimized crystal structure of CaTlRh2S.

abc: 4.879 4.879 5.700
angles: 90.00 90.00 90.00
Sites, in units of the cell vectors:
Ca1 0.000 0.000 0.000
Tl1 0.000 0.000 0.500
Rh1 0.000 0.500 0.000
Rh2 0.500 0.000 0.000
S1 0.500 0.500 0.500

Formation energy without anion corrections in meV/atom: 1285
Volume in Å³/cell: 135.7
Total magnetic moment in μB/f.u.: 1.5
Space group: P4/mmm, No. 123
DOS(E_F) in states/eV per cell: 6.75
VASP energy in eV/cell: -16.77

=====

Density functional theory data (PBE) for an optimized crystal structure of LaSnHgGe.

abc: 5.286 5.286 5.286
angles: 60.00 60.00 60.00
Sites, in units of the cell vectors:
La1 0.000 0.000 0.000
Sn1 0.500 0.500 0.500
Hg1 0.250 0.250 0.250
Ge1 0.750 0.750 0.750

Volume in Å³/cell: 104.4
Total magnetic moment in μB/f.u.: 0.0
Energy of formation from the pure elements in kcal/mol of atoms: -7.972
Space group: F-43m, No. 216
DOS(E_F) in states/eV per cell: 2.96
VASP energy in eV/cell: -15.23

=====

Density functional theory data (PBE) for an optimized crystal structure of Mg2NpCl6.

abc: 7.949 7.949 7.949
angles: 52.69 52.69 52.69
Sites, in units of the cell vectors:
Mg1 0.000 0.000 0.000
Mg2 0.152 0.152 0.152
Np1 0.406 0.406 0.406
Cl1 0.032 0.287 0.628
Cl2 0.185 0.808 0.479
Cl3 0.287 0.628 0.032
Cl4 0.479 0.185 0.808
Cl5 0.628 0.032 0.287
Cl6 0.808 0.479 0.185

Formation energy without anion corrections in meV/atom: -1468
Volume in Å³/cell: 294.2
Total magnetic moment in μB/f.u.: 5.0
Space group: R3, No. 146
DOS(E_F) in states/eV per cell: 6.01
VASP energy in eV/cell: -40.42

=====

Density functional theory data (PBE) for an optimized crystal structure of La5Pm2Sm5.

abc: 8.254 8.254 11.605
angles: 115.23 115.23 36.81
Sites, in units of the cell vectors:
La1 0.000 0.000 0.000
La2 0.082 0.082 0.750
La3 0.249 0.249 0.250
La4 0.751 0.751 0.750
La5 0.918 0.918 0.250
Pm1 0.166 0.166 0.500
Pm2 0.834 0.834 0.500
Sm1 0.333 0.333 0.000
Sm2 0.416 0.416 0.748
Sm3 0.500 0.500 0.500
Sm4 0.584 0.584 0.252
Sm5 0.667 0.667 0.000

Volume in Å³/cell: 423.2
Total magnetic moment in μB/f.u.: 0.0
Energy of formation from the pure elements in kcal/mol of atoms: 0.461
Space group: C2/m, No. 12
DOS(E_F) in states/eV per cell: 21.77
VASP energy in eV/cell: -57.49

=====

Density functional theory data (PBE) for an optimized crystal structure of Ba2ScTa.

abc: 5.704 5.704 5.704
angles: 60.00 60.00 60.00
Sites, in units of the cell vectors:
Ba1 0.250 0.250 0.250
Ba2 0.750 0.750 0.750
Sc1 0.000 0.000 0.000
Ta1 0.500 0.500 0.500

Volume in Å³/cell: 131.2
Total magnetic moment in μB/f.u.: 1.3
Energy of formation from the pure elements in kcal/mol of atoms: 24.860
Space group: Fm-3m, No. 225
DOS(E_F) in states/eV per cell: 5.33
Energy above the most stable polymorph in this dataset in meV per atom: 476.4
VASP energy in eV/cell: -17.72

=====

Density functional theory data (PBE) for an optimized crystal structure of La2ScGe3Rh4.

abc: 4.197 4.197 11.014
angles: 90.00 90.00 90.00
Sites, in units of the cell vectors:
La1 0.000 0.500 0.240
La2 0.500 0.000 0.760
Sc1 0.000 0.000 0.500
Ge1 0.000 0.500 0.877
Ge2 0.500 0.000 0.123
Ge3 0.500 0.500 0.500
Rh1 0.000 0.000 0.000
Rh2 0.000 0.500 0.648
Rh3 0.500 0.000 0.352
Rh4 0.500 0.500 0.000

Volume in Å³/cell: 194.0
Total magnetic moment in μB/f.u.: 0.0
Energy of formation from the pure elements in kcal/mol of atoms: -21.632
Space group: P-4m2, No. 115
DOS(E_F) in states/eV per cell: 7.21
VASP energy in eV/cell: -68.82